(1)
VASP calculation (PBE) on Si3SnS after structural relaxation.

Unit cell a=5.175 b=5.175 c=5.175 alpha=90.00 beta=90.00 gamma=90.00
Positions (direct):
Si  0.000  0.000  0.500
Si  0.000  0.500  0.000
Si  0.500  0.000  0.000
Sn  0.000  0.000  0.000
S  0.500  0.500  0.500

- Offset from the most stable computed form: 764 meV/atom
- Formation energy without anion corrections: 1478.6 meV per atom
- Uncorrected energy: -3.4013 eV per atom

=====

(2)
VASP calculation (PBE) on CrFeReTe2 after structural relaxation.

Unit cell a=5.170 b=5.170 c=4.450 alpha=90.00 beta=90.00 gamma=90.00
Positions (direct):
Cr  0.000  0.000  0.000
Fe  0.500  0.500  0.000
Re  0.500  0.500  0.500
Te  0.000  0.500  0.500
Te  0.500  0.000  0.500

- Formation energy without anion corrections: 1756.8 meV per atom
- Uncorrected energy: -5.6067 eV per atom

=====

(3)
VASP calculation (PBE) on LuPaRe4 after structural relaxation.

Unit cell a=5.414 b=5.414 c=5.414 alpha=60.00 beta=60.00 gamma=60.00
Positions (direct):
Lu  0.000  0.000  0.000
Pa  0.750  0.750  0.750
Re  0.375  0.375  0.375
Re  0.375  0.375  0.876
Re  0.375  0.876  0.375
Re  0.876  0.375  0.375

- Energy relative to the elements: -0.146 eV/atom
- Uncorrected energy: -10.7814 eV per atom

=====

(4)
VASP calculation (PBE) on MgAs3F after structural relaxation.

Unit cell a=4.912 b=4.912 c=4.912 alpha=90.00 beta=90.00 gamma=90.00
Positions (direct):
Mg  0.000  0.000  0.000
As  0.000  0.000  0.500
As  0.000  0.500  0.000
As  0.500  0.000  0.000
F  0.500  0.500  0.500

- Offset from the most stable computed form: 435 meV/atom
- Formation energy without anion corrections: 507.4 meV per atom
- Uncorrected energy: -2.9755 eV per atom